[1]
Computed, not measured: KAlP after structural relaxation at the PBE level of DFT.

Calculated values
Symmetry: F-43m (216)
DFT total energy: -0.189 Ry per atom
Magnetization: 0.00 μB per formula unit

Cell: 4.9514 4.9514 4.9514 Å, 60.00 60.00 60.00°
Last column: nearest neighbours and their distance in Å.
Positions (direct):
K1 0.0000 0.0000 0.0000  4 Al 3.03, 4 P 3.03
Al1 0.7500 0.7500 0.7500  4 K 3.03
P1 0.2500 0.2500 0.2500  4 K 3.03

---

[2]
Computed, not measured: KAlP after structural relaxation at the PBE level of DFT.

Calculated values
Symmetry: Cm (8)
DFT total energy: -0.273 Ry per atom
Magnetization: 0.00 μB per formula unit

Cell: 6.8192 6.8192 8.1151 Å, 108.46 108.46 32.92°
Last column: nearest neighbours and their distance in Å.
Positions (direct):
K1 0.0000 0.0000 0.0000  4 P 3.41-3.48, 1 K 3.69, 1 Al 3.73
K2 0.0942 0.0942 0.4820  4 P 3.40-3.45, 5 Al 3.54-3.77, 1 K 3.69
Al1 0.3402 0.3402 0.2483  2 P 2.52
Al2 0.8344 0.8344 0.5272  3 P 2.27-2.31
P1 0.4305 0.4305 0.6339  2 Al 2.31
P2 0.7171 0.7171 0.2495  3 Al 2.27-2.52

---

[3]
Computed, not measured: KAlP2 after structural relaxation at the PBE level of DFT.

Calculated values
Symmetry: I4_1/amd (141)
DFT total energy: -0.301 Ry per atom
Magnetization: 0.00 μB per formula unit

Cell: 8.3053 8.3053 8.3053 Å, 141.41 141.41 55.72°
Last column: nearest neighbours and their distance in Å.
Positions (direct):
K1 0.3750 0.6250 0.7500  8 P 3.58, 4 Al 3.88
K2 0.6250 0.3750 0.2500  8 P 3.58, 4 Al 3.88
Al1 0.1250 0.8750 0.2500  4 P 2.29
Al2 0.8750 0.1250 0.7500  4 P 2.29
P1 0.0000 0.0000 0.0000  2 Al 2.29
P2 0.0000 0.0000 0.5000  2 Al 2.29
P3 0.0000 0.5000 0.0000  2 Al 2.29
P4 0.5000 0.0000 0.5000  2 Al 2.29

---

[4]
Computed, not measured: KAlP2 after structural relaxation at the PBE level of DFT.

Calculated values
Symmetry: P2/m (10)
DFT total energy: -0.302 Ry per atom
Magnetization: 0.00 μB per formula unit

Cell: 3.8137 3.5030 6.7117 Å, 90.00 96.71 90.00°
Last column: nearest neighbours and their distance in Å.
Positions (direct):
K1 0.0000 0.0000 0.0000  2 Al 3.36, 8 P 3.45-3.50, 2 K 3.50
Al1 0.0000 0.0000 0.5000  4 P 2.50
P1 0.4174 0.5000 0.6530  1 P 2.22
P2 0.5826 0.5000 0.3470  1 P 2.22

---

[5]
Computed, not measured: KAlP2 after structural relaxation at the PBE level of DFT.

Calculated values
Symmetry: Immm (71)
DFT total energy: -0.290 Ry per atom
Magnetization: 0.00 μB per formula unit

Cell: 5.2728 5.2728 5.2728 Å, 130.03 103.78 96.81°
Last column: nearest neighbours and their distance in Å.
Positions (direct):
K1 0.0000 0.0000 0.0000  8 P 3.27-3.44, 2 Al 3.50
Al1 0.5000 0.5000 0.0000  4 P 2.49
P1 0.3414 0.8414 0.5000  1 P 2.22
P2 0.6586 0.1586 0.5000  1 P 2.22

---

[6]
Computed, not measured: KAlP after structural relaxation at the PBE level of DFT.

Calculated values
Symmetry: Immm (71)
DFT total energy: -0.273 Ry per atom
Magnetization: 0.00 μB per formula unit

Cell: 8.5670 8.5670 8.5670 Å, 147.11 144.93 48.84°
Last column: nearest neighbours and their distance in Å.
Positions (direct):
K1 0.1651 0.1651 0.0000  5 P 3.30-3.60
K2 0.8349 0.8349 0.0000  5 P 3.30-3.60
Al1 0.2501 0.5000 0.7501  2 P 2.32, 2 Al 2.58
Al2 0.7499 0.5000 0.2499  2 P 2.32, 2 Al 2.58
P1 0.3766 0.3766 0.0000  2 Al 2.32
P2 0.6234 0.6234 0.0000  2 Al 2.32

---

[7]
Computed, not measured: KAlP after structural relaxation at the PBE level of DFT.

Calculated values
Symmetry: P1 (1)
DFT total energy: -0.284 Ry per atom
Magnetization: 0.00 μB per formula unit

Cell: 3.9374 5.5624 7.6329 Å, 101.12 90.14 110.68°
Last column: nearest neighbours and their distance in Å.
Positions (direct):
K1 0.0000 0.0000 0.0000  3 P 3.04-3.14, 1 K 3.35, 1 Al 3.41
K2 0.3006 0.5975 0.2674  2 Al 3.19-3.52, 5 P 3.25-3.51, 1 K 3.35
Al1 0.2515 0.5064 0.7121  3 P 2.48
Al2 0.5061 0.0161 0.6378  3 P 2.45
P1 0.0503 0.1060 0.4699  3 Al 2.45-2.48
P2 0.7014 0.4043 0.8831  3 Al 2.45-2.48

---

[8]
Computed, not measured: K2AlP2 after structural relaxation at the PBE level of DFT.

Calculated values
Symmetry: Ibam (72)
DFT total energy: -0.278 Ry per atom
Magnetization: 0.68 μB per formula unit

Cell: 8.1432 8.1432 8.1432 Å, 127.91 70.45 136.07°
Last column: nearest neighbours and their distance in Å.
Positions (direct):
K1 0.1493 0.1604 0.3097  5 P 3.32-3.48, 2 Al 3.49
K2 0.3507 0.6604 0.0112  5 P 3.32-3.48, 2 Al 3.49
K3 0.6493 0.3396 0.9888  5 P 3.32-3.48, 2 Al 3.49
K4 0.8507 0.8396 0.6903  5 P 3.32-3.48, 2 Al 3.49
Al1 0.2500 0.7500 0.5000  4 P 2.40
Al2 0.7500 0.2500 0.5000  4 P 2.40
P1 0.0985 0.6825 0.7811  2 Al 2.40
P2 0.4015 0.1825 0.5840  2 Al 2.40
P3 0.5985 0.8175 0.4160  2 Al 2.40
P4 0.9015 0.3175 0.2189  2 Al 2.40